(1)
Crystalline Cd4InGe at its relaxed geometry. Source: Alexandria via LeMat-Bulk, functional PBE.

Summary:
Raw total energy: -9.95 eV/f.u.
E_form: 0.178 eV per atom

Unit cell a=8.316 b=8.316 c=8.316 alpha=90.00 beta=90.00 gamma=90.00
Space group F-43m (No. 216)
Asymmetric unit:
1 Cd 0.125 0.125 0.125 [16 per cell]
2 In 0.250 0.250 0.750 [4 per cell]
3 Ge 0.000 0.000 0.500 [4 per cell]

=====

(2)
Crystalline Cd5In12Ge3 at its relaxed geometry. Source: Alexandria via LeMat-Bulk, functional PBE.

Summary:
Raw total energy: -47.79 eV/f.u.
E_form: 0.175 eV per atom

Unit cell a=16.961 b=16.961 c=16.961 alpha=90.00 beta=90.00 gamma=90.00
Space group Ia-3d (No. 230)
Asymmetric unit:
1 Cd 0.000 0.000 0.000 [16 per cell]
2 Cd 0.000 0.250 0.375 [24 per cell]
3 In 0.016 0.082 0.651 [96 per cell]
4 Ge 0.000 0.250 0.125 [24 per cell]

=====

(3)
Crystalline Cd2InGe at its relaxed geometry. Source: Alexandria via LeMat-Bulk, functional PBE.

Summary:
Raw total energy: -8.64 eV/f.u.
Energy relative to the lowest polymorph listed for this composition: 0 kJ/mol of formula units
E_form: 0.137 eV per atom

Unit cell a=4.491 b=4.491 c=4.543 alpha=90.00 beta=90.00 gamma=90.00
Space group P4/mmm (No. 123)
Asymmetric unit:
1 Cd 0.000 0.500 0.000 [2 per cell]
2 In 0.000 0.000 0.500 [1 per cell]
3 Ge 0.500 0.500 0.500 [1 per cell]

=====

(4)
Crystalline CdIn2Ge2 at its relaxed geometry. Source: Alexandria via LeMat-Bulk, functional PBE.

Summary:
Raw total energy: -14.73 eV/f.u.
Energy relative to the lowest polymorph listed for this composition: 13 kJ/mol of formula units
E_form: 0.180 eV per atom

Unit cell a=4.983 b=4.983 c=10.394 alpha=90.00 beta=90.00 gamma=90.00
Space group I4/mmm (No. 139)
Asymmetric unit:
1 Cd 0.000 0.000 0.000 [2 per cell]
2 In 0.000 0.500 0.250 [4 per cell]
3 Ge 0.000 0.000 0.382 [4 per cell]

=====

(5)
Crystalline CdInGe2 at its relaxed geometry. Source: Alexandria via LeMat-Bulk, functional PBE.

Summary:
Raw total energy: -11.90 eV/f.u.
E_form: 0.247 eV per atom

Unit cell a=7.084 b=7.084 c=7.084 alpha=90.00 beta=90.00 gamma=90.00
Space group Fm-3m (No. 225)
Asymmetric unit:
1 Cd 0.000 0.000 0.000 [4 per cell]
2 In 0.000 0.000 0.500 [4 per cell]
3 Ge 0.250 0.250 0.250 [8 per cell]

=====

(6)
Crystalline Cd2InGe at its relaxed geometry. Source: Alexandria via LeMat-Bulk, functional PBE.

Summary:
Raw total energy: -8.56 eV/f.u.
Energy relative to the lowest polymorph listed for this composition: 7 kJ/mol of formula units
E_form: 0.155 eV per atom

Unit cell a=3.1010 b=3.1010 c=34.3482 alpha=90.00 beta=90.00 gamma=120.00
Space group R-3m (No. 166, hexagonal axes)
Asymmetric unit:
1 Cd 0.0000 0.0000 0.0907 [6 per cell]
2 In 0.0000 0.0000 0.0000 [3 per cell]
3 Ge 0.0000 0.0000 0.5000 [3 per cell]